This record from Alexandria via LeMat-Bulk describes a geometry-optimized RuSe structure. The functional is PBE.

DFT total energy: -101.04 eV for the cell shown

Unit cell a=5.7245 b=7.3799 c=7.6699 alpha=90.00 beta=90.00 gamma=90.00
Closest atoms and distances in Å follow each position.
Sites, in units of the cell vectors:
Ru (0.0162, 0.1840, 0.3748)  4 Se 2.39-2.49
Ru (0.1810, 0.5168, 0.8260)  4 Se 2.38-2.49
Ru (0.3190, 0.4832, 0.3260)  4 Se 2.38-2.49
Ru (0.4838, 0.8160, 0.8748)  4 Se 2.39-2.49
Ru (0.5162, 0.3160, 0.6252)  4 Se 2.39-2.49
Ru (0.6810, 0.9832, 0.1740)  4 Se 2.38-2.49
Ru (0.8190, 0.0168, 0.6740)  4 Se 2.38-2.49
Ru (0.9838, 0.6840, 0.1252)  4 Se 2.39-2.49
Se (0.0594, 0.8306, 0.8535)  4 Ru 2.38-2.44
Se (0.0653, 0.3625, 0.1020)  4 Ru 2.42-2.49
Se (0.4347, 0.6375, 0.6020)  4 Ru 2.42-2.49
Se (0.4406, 0.1694, 0.3535)  4 Ru 2.38-2.44
Se (0.5594, 0.6694, 0.1465)  4 Ru 2.38-2.44
Se (0.5653, 0.1375, 0.8980)  4 Ru 2.42-2.49
Se (0.9347, 0.8625, 0.3980)  4 Ru 2.42-2.49
Se (0.9406, 0.3306, 0.6465)  4 Ru 2.38-2.44

This record from Alexandria via LeMat-Bulk describes a geometry-optimized CaTb2Nd9 structure. The functional is PBE.

DFT total energy: -53.79 eV for the cell shown
Energy relative to the elements: 0.032 eV/atom

Unit cell a=5.1930 b=5.1930 c=15.5904 alpha=90.00 beta=90.00 gamma=90.00
Closest atoms and distances in Å follow each position.
Sites, in units of the cell vectors:
Ca (0.0000, 0.0000, 0.0000)  12 Nd 3.67-3.74
Tb (0.0000, 0.0000, 0.3341)  12 Nd 3.62-3.67
Tb (0.0000, 0.0000, 0.6659)  12 Nd 3.62-3.67
Nd (0.0000, 0.5000, 0.1724)  2 Tb 3.62, 8 Nd 3.62-3.74, 2 Ca 3.74
Nd (0.0000, 0.5000, 0.5000)  8 Nd 3.66-3.67, 4 Tb 3.67
Nd (0.0000, 0.5000, 0.8276)  2 Tb 3.62, 8 Nd 3.62-3.74, 2 Ca 3.74
Nd (0.5000, 0.0000, 0.1724)  2 Tb 3.62, 8 Nd 3.62-3.74, 2 Ca 3.74
Nd (0.5000, 0.0000, 0.5000)  8 Nd 3.66-3.67, 4 Tb 3.67
Nd (0.5000, 0.0000, 0.8276)  2 Tb 3.62, 8 Nd 3.62-3.74, 2 Ca 3.74
Nd (0.5000, 0.5000, 0.0000)  4 Ca 3.67, 8 Nd 3.74
Nd (0.5000, 0.5000, 0.3346)  8 Nd 3.62-3.66, 4 Tb 3.67
Nd (0.5000, 0.5000, 0.6654)  8 Nd 3.62-3.66, 4 Tb 3.67

This record from Alexandria via LeMat-Bulk describes a geometry-optimized PmBiSb structure. The functional is PBE.

Energy relative to the lowest polymorph listed for this composition: 235.1 meV per atom
DFT total energy: -13.95 eV for the cell shown

Unit cell a=5.5566 b=5.5566 c=3.3464 alpha=90.00 beta=90.00 gamma=120.00
Closest atoms and distances in Å follow each position.
Sites, in units of the cell vectors:
Pm (0.0000, 0.0000, 0.0000)  2 Pm 3.35, 6 Sb 3.61-3.62, 6 Bi 3.62
Bi (0.3333, 0.6667, 0.5007)  3 Sb 3.21, 2 Bi 3.35
Sb (0.6667, 0.3333, 0.5036)  3 Bi 3.21, 2 Sb 3.35

This record from Alexandria via LeMat-Bulk describes a geometry-optimized Y7Er2Sc2 structure. The functional is PBE.

Energy relative to the lowest polymorph listed for this composition: 0.0 meV per atom
DFT total energy: -65.62 eV for the cell shown
Energy relative to the elements: 0.129 eV/atom

Unit cell a=9.7819 b=9.7819 c=11.6711 alpha=119.87 beta=119.87 gamma=20.99
Closest atoms and distances in Å follow each position.
Sites, in units of the cell vectors:
Y (0.0000, 0.0000, 0.0000)  4 Sc 3.54, 6 Y 3.56-3.93, 4 Er 3.69
Y (0.1628, 0.1628, 0.9030)  3 Sc 3.27-3.32, 2 Er 3.34, 6 Y 3.44-3.58
Y (0.1713, 0.1713, 0.3753)  2 Sc 3.25, 2 Er 3.33, 5 Y 3.45-3.56
Y (0.3547, 0.3547, 0.3762)  2 Sc 3.47, 2 Er 3.52-3.58, 7 Y 3.52-3.65
Y (0.6453, 0.6453, 0.6238)  2 Sc 3.47, 2 Er 3.52-3.58, 7 Y 3.52-3.65
Y (0.8287, 0.8287, 0.6247)  2 Sc 3.25, 2 Er 3.33, 5 Y 3.45-3.56
Y (0.8372, 0.8372, 0.0970)  3 Sc 3.27-3.32, 2 Er 3.34, 6 Y 3.44-3.58
Er (0.4951, 0.4951, 0.7191)  8 Y 3.33-3.69, 2 Er 3.56
Er (0.5049, 0.5049, 0.2809)  8 Y 3.33-3.69, 2 Er 3.56
Sc (0.3155, 0.3155, 0.8460)  9 Y 3.25-3.54, 2 Sc 3.56
Sc (0.6845, 0.6845, 0.1540)  9 Y 3.25-3.54, 2 Sc 3.56

This record from Alexandria via LeMat-Bulk describes a geometry-optimized Mn4AgW structure. The functional is PBE.

DFT total energy: -51.06 eV for the cell shown
Energy relative to the elements: 0.236 eV/atom

Unit cell a=4.7634 b=4.7634 c=4.7634 alpha=60.00 beta=60.00 gamma=60.00
Closest atoms and distances in Å follow each position.
Sites, in units of the cell vectors:
Mn (0.1240, 0.1240, 0.1240)  6 Mn 2.36-2.40
Mn (0.1240, 0.1240, 0.6281)  6 Mn 2.36-2.40
Mn (0.1240, 0.6281, 0.1240)  6 Mn 2.36-2.40
Mn (0.6281, 0.1240, 0.1240)  6 Mn 2.36-2.40
Ag (0.7500, 0.7500, 0.7500)  12 Mn 2.79, 4 W 2.92
W (0.5000, 0.5000, 0.5000)  12 Mn 2.79, 4 Ag 2.92

This record from Alexandria via LeMat-Bulk describes a geometry-optimized YZnFe structure. The functional is PBE.

DFT total energy: -66.40 eV for the cell shown
Energy relative to the elements: -0.133 eV/atom

Unit cell a=11.8002 b=3.9203 c=5.0851 alpha=90.00 beta=104.35 gamma=90.00
Closest atoms and distances in Å follow each position.
Sites, in units of the cell vectors:
Y (0.1218, 0.0000, 0.3126)  4 Fe 2.71-3.03
Y (0.3782, 0.5000, 0.6874)  4 Fe 2.71-3.03
Y (0.6218, 0.5000, 0.3126)  4 Fe 2.71-3.03
Y (0.8782, 0.0000, 0.6874)  4 Fe 2.71-3.03
Zn (0.0855, 0.5000, 0.7600)  3 Fe 2.50-2.53
Zn (0.4145, 0.0000, 0.2400)  3 Fe 2.50-2.53
Zn (0.5855, 0.0000, 0.7600)  3 Fe 2.50-2.53
Zn (0.9145, 0.5000, 0.2400)  3 Fe 2.50-2.53
Fe (0.2239, 0.0000, 0.8905)  2 Fe 2.26, 3 Zn 2.50-2.53
Fe (0.2761, 0.5000, 0.1095)  2 Fe 2.26, 3 Zn 2.50-2.53
Fe (0.7239, 0.5000, 0.8905)  2 Fe 2.26, 3 Zn 2.50-2.53
Fe (0.7761, 0.0000, 0.1095)  2 Fe 2.26, 3 Zn 2.50-2.53

This record from Alexandria via LeMat-Bulk describes a geometry-optimized Ce4CSe2S structure. The functional is PBE.

DFT total energy: -55.73 eV for the cell shown

Unit cell a=6.9507 b=3.9671 c=7.1115 alpha=90.00 beta=108.61 gamma=90.00
Closest atoms and distances in Å follow each position.
Sites, in units of the cell vectors:
Ce (0.2204, 0.0000, 0.2117)  2 C 2.66, 1 S 2.81, 1 Se 2.92
Ce (0.2414, 0.5000, 0.7776)  1 C 2.65, 2 S 2.80, 2 Se 2.92
Ce (0.7586, 0.5000, 0.2224)  1 C 2.65, 2 S 2.80, 2 Se 2.92
Ce (0.7796, 0.0000, 0.7883)  2 C 2.66, 1 S 2.81, 1 Se 2.92
C (0.0000, 0.5000, 0.0000)  6 Ce 2.65-2.66
Se (0.0000, 0.0000, 0.5000)  6 Ce 2.92
Se (0.5000, 0.5000, 0.5000)  6 Ce 3.06
S (0.5000, 0.0000, 0.0000)  6 Ce 2.80-2.81

This record from Alexandria via LeMat-Bulk describes a geometry-optimized In3Si4 structure. The functional is PBE.

DFT total energy: -25.01 eV for the cell shown

Unit cell a=6.2750 b=6.2750 c=4.6489 alpha=90.00 beta=90.00 gamma=120.00
Closest atoms and distances in Å follow each position.
Sites, in units of the cell vectors:
In (0.0000, 0.5000, 0.0000)  4 Si 2.95, 4 In 3.14
In (0.5000, 0.0000, 0.0000)  4 Si 2.95, 4 In 3.14
In (0.5000, 0.5000, 0.0000)  4 Si 2.95, 4 In 3.14
Si (0.0000, 0.0000, 0.2468)  2 Si 2.29-2.35
Si (0.0000, 0.0000, 0.7532)  2 Si 2.29-2.35
Si (0.3333, 0.6667, 0.5000)  6 In 2.95
Si (0.6667, 0.3333, 0.5000)  6 In 2.95

This record from Alexandria via LeMat-Bulk describes a geometry-optimized Ba3HgSe structure. The functional is PBE.

Energy relative to the lowest polymorph listed for this composition: 0.0 meV per atom
DFT total energy: -13.27 eV for the cell shown

Unit cell a=6.2971 b=6.2971 c=6.2971 alpha=90.00 beta=90.00 gamma=90.00
Closest atoms and distances in Å follow each position.
Sites, in units of the cell vectors:
Ba (0.0000, 0.0000, 0.5000)  2 Se 3.15
Ba (0.0000, 0.5000, 0.0000)  2 Se 3.15
Ba (0.5000, 0.0000, 0.0000)  2 Se 3.15
Hg (0.5000, 0.5000, 0.5000)  12 Ba 4.45
Se (0.0000, 0.0000, 0.0000)  6 Ba 3.15

This record from Alexandria via LeMat-Bulk describes a geometry-optimized TbZn8Cu4 structure. The functional is PBE.

DFT total energy: -33.86 eV for the cell shown
Energy relative to the elements: -0.204 eV/atom

Unit cell a=6.7149 b=6.7149 c=6.7149 alpha=97.85 beta=97.85 gamma=136.61
Closest atoms and distances in Å follow each position.
Sites, in units of the cell vectors:
Tb (0.0000, 0.0000, 0.0000)  12 Zn 3.07-3.15, 8 Cu 3.36
Zn (0.0000, 0.3480, 0.3480)  4 Cu 2.67, 5 Zn 2.68-2.82
Zn (0.0000, 0.6520, 0.6520)  4 Cu 2.67, 5 Zn 2.68-2.82
Zn (0.2810, 0.5000, 0.7810)  4 Cu 2.55, 6 Zn 2.73-2.82
Zn (0.3480, 0.0000, 0.3480)  4 Cu 2.67, 5 Zn 2.68-2.82
Zn (0.5000, 0.2810, 0.7810)  4 Cu 2.55, 6 Zn 2.73-2.82
Zn (0.5000, 0.7190, 0.2190)  4 Cu 2.55, 6 Zn 2.73-2.82
Zn (0.6520, 0.0000, 0.6520)  4 Cu 2.67, 5 Zn 2.68-2.82
Zn (0.7190, 0.5000, 0.2190)  4 Cu 2.55, 6 Zn 2.73-2.82
Cu (0.0000, 0.0000, 0.5000)  2 Cu 2.48, 8 Zn 2.55-2.67
Cu (0.0000, 0.5000, 0.0000)  2 Cu 2.48, 8 Zn 2.55-2.67
Cu (0.5000, 0.0000, 0.0000)  2 Cu 2.48, 8 Zn 2.55-2.67
Cu (0.5000, 0.5000, 0.5000)  2 Cu 2.48, 8 Zn 2.55-2.67

This record from Alexandria via LeMat-Bulk describes a geometry-optimized SnP2SeS structure. The functional is PBE.

Energy relative to the lowest polymorph listed for this composition: 0.0 meV per atom
DFT total energy: -18.69 eV for the cell shown

Unit cell a=4.8322 b=4.8322 c=4.8090 alpha=90.00 beta=90.00 gamma=90.00
Closest atoms and distances in Å follow each position.
Sites, in units of the cell vectors:
Sn (0.0000, 0.0000, 0.0000)  8 P 3.41, 4 S 3.42
P (0.0000, 0.5000, 0.5000)  2 Se 2.42
P (0.5000, 0.0000, 0.5000)  2 Se 2.42
Se (0.5000, 0.5000, 0.5000)  2 S 2.40, 4 P 2.42
S (0.5000, 0.5000, 0.0000)  2 Se 2.40

This record from Alexandria via LeMat-Bulk describes a geometry-optimized Mg5CuSe structure. The functional is PBE.

DFT total energy: -16.77 eV for the cell shown

Unit cell a=4.3408 b=4.3408 c=7.9649 alpha=90.00 beta=90.00 gamma=90.00
Closest atoms and distances in Å follow each position.
Sites, in units of the cell vectors:
Mg (0.0000, 0.0000, 0.0000)  8 Mg 2.93, 4 Cu 3.07
Mg (0.0000, 0.5000, 0.2471)  6 Mg 2.93-3.07, 2 Cu 2.93, 2 Se 2.96
Mg (0.0000, 0.5000, 0.7529)  6 Mg 2.93-3.07, 2 Cu 2.93, 2 Se 2.96
Mg (0.5000, 0.0000, 0.2471)  6 Mg 2.93-3.07, 2 Cu 2.93, 2 Se 2.96
Mg (0.5000, 0.0000, 0.7529)  6 Mg 2.93-3.07, 2 Cu 2.93, 2 Se 2.96
Cu (0.5000, 0.5000, 0.0000)  12 Mg 2.93-3.07
Se (0.0000, 0.0000, 0.5000)  8 Mg 2.96

Computed DOS at the Fermi energy (states/eV/cell) in order:
14.1; 19.5; 3.1; 17.4; 7.0; 10.0; 17.1; 2.8; 4.9; 7.0; 4.4; 1.9